Record 1
Computed, not measured: a relaxed Co4Ir3 crystal at the PBE-GGA level of DFT.

Structure (POSCAR):
```
Co4Ir3
1.0
-1.322 1.799 9.150
1.322 -1.799 9.150
1.322 1.799 -9.150
Co Ir
4 3
Direct
0.072 0.072 0.000
0.215 0.215 0.000
0.785 0.785 0.000
0.928 0.928 0.000
0.355 0.355 0.000
0.500 0.500 0.000
0.645 0.645 0.000
```

DFT formation energy = 0.040 eV per atom
crystal system = orthorhombic

Record 2
Computed, not measured: a relaxed LaCdH6Pt2 crystal at the PBE-GGA level of DFT.

Structure (POSCAR):
```
LaCdH6Pt2
1.0
3.493 -4.461 0.000
3.493 4.461 0.000
-2.898 0.000 8.081
La Cd H Pt
2 2 12 4
Direct
0.072 0.928 0.750
0.928 0.072 0.250
0.341 0.659 0.250
0.659 0.341 0.750
0.132 0.717 0.448
0.152 0.557 0.849
0.218 0.260 0.022
0.260 0.218 0.522
0.283 0.868 0.052
0.443 0.848 0.651
0.557 0.152 0.349
0.717 0.132 0.948
0.740 0.782 0.478
0.782 0.740 0.978
0.848 0.443 0.151
0.868 0.283 0.552
0.166 0.394 0.666
0.394 0.166 0.166
0.606 0.834 0.834
0.834 0.606 0.334
```

calculated total energy = -4.1123 eV per atom
crystal system = monoclinic

Record 3
Computed, not measured: a relaxed Tb4AlSn3 crystal at the PBE-GGA level of DFT.

Structure (POSCAR):
```
Tb4AlSn3
1.0
4.249 0.000 0.000
0.000 4.522 0.000
0.000 0.000 11.372
Tb Al Sn
4 1 3
Direct
0.000 0.000 0.000
0.000 0.500 0.490
0.500 0.000 0.719
0.500 0.500 0.222
0.000 0.000 0.274
0.000 0.500 0.764
0.500 0.000 0.438
0.500 0.500 0.948
```

DFT formation energy = -0.675 eV per atom
crystal system = orthorhombic

Record 4
Computed, not measured: a relaxed ErMgZn2Au2 crystal at the PBE-GGA level of DFT.

Structure (POSCAR):
```
ErMgZn2Au2
1.0
4.514 0.000 0.000
-2.257 3.909 0.000
0.000 0.000 6.511
Er Mg Zn Au
1 1 2 2
Direct
0.000 0.000 0.000
0.000 0.000 0.500
0.333 0.667 0.718
0.667 0.333 0.282
0.333 0.667 0.262
0.667 0.333 0.738
```

DFT formation energy = -0.552 eV per atom
crystal system = trigonal